First-principles (PBE-GGA) data for La3TiTl4S8 after structural relaxation, as listed in the Alexandria database.

Geometry as POSCAR:
```
La3TiTl4S8
1.0
4.123 2.381 7.472
-4.123 2.381 7.472
0.000 -4.761 7.472
La Ti Tl S
3 1 4 8
Direct
0.000 0.500 0.500
0.500 0.000 0.500
0.500 0.500 0.000
0.000 0.000 0.000
0.000 0.000 0.500
0.000 0.500 0.000
0.500 0.000 0.000
0.500 0.500 0.500
0.216 0.216 0.763
0.216 0.763 0.216
0.237 0.784 0.784
0.263 0.263 0.263
0.737 0.737 0.737
0.763 0.216 0.216
0.784 0.237 0.784
0.784 0.784 0.237
```

E_form (uncorrected) ... -1326 meV/atom
SG ... R-3m, No. 166
Crystal system ... trigonal
Magnetization ... 1.01 μB per formula unit

First-principles (PBE-GGA) data for ScPaC after structural relaxation, as listed in the Alexandria database.

Geometry as POSCAR:
```
ScPaC
1.0
3.349 0.000 0.000
-1.674 2.900 0.000
0.000 0.000 5.999
Sc Pa C
1 1 1
Direct
0.000 0.000 0.000
0.333 0.667 0.554
0.667 0.333 0.793
```

SG ... P3m1, No. 156
Crystal system ... trigonal
ΔE_f ... -0.2861 eV per atom
Magnetization ... 0.00 μB per formula unit
ΔE to the lowest computed polymorph ... 0.0 meV per atom

Question: The highest magnetization belongs to which entry?
Answer: La3TiTl4S8